Here is a geometry-optimized KRb2NaZn structure from the Alexandria database. Energies are from PBE.

Unit cell a=7.0539 b=7.0539 c=6.1387 alpha=90.00 beta=90.00 gamma=90.00
Closest atoms and distances in Å follow each position.
Fractional positions:
1 K 0.0000 0.0000 0.0000  8 Rb 4.68, 4 Na 4.99
2 Rb 0.0000 0.5000 0.5000  2 Zn 3.53
3 Rb 0.5000 0.0000 0.5000  2 Zn 3.53
4 Na 0.5000 0.5000 0.0000  2 Zn 3.07
5 Zn 0.5000 0.5000 0.5000  2 Na 3.07

DFT formation energy, eV per atom: 0.123

Here is a geometry-optimized Li3Nd3UTe8 structure from the Alexandria database. Energies are from PBE.

Unit cell a=8.7500 b=8.7500 c=8.7500 alpha=61.22 beta=61.22 gamma=61.22
Closest atoms and distances in Å follow each position.
Fractional positions:
1 Li 0.0000 0.5000 0.5000  6 Te 3.07
2 Li 0.5000 0.0000 0.5000  6 Te 3.07
3 Li 0.5000 0.5000 0.0000  6 Te 3.07
4 Nd 0.0000 0.0000 0.5000  6 Te 3.17-3.18
5 Nd 0.0000 0.5000 0.0000  6 Te 3.17-3.18
6 Nd 0.5000 0.0000 0.0000  6 Te 3.17-3.18
7 U 0.5000 0.5000 0.5000  6 Te 3.08
8 Te 0.2533 0.2533 0.7389  2 Li 3.07, 1 U 3.08, 2 Nd 3.17
9 Te 0.2533 0.7389 0.2533  2 Li 3.07, 1 U 3.08, 2 Nd 3.17
10 Te 0.2544 0.2544 0.2544  3 Li 3.07, 3 Nd 3.18
11 Te 0.2611 0.7467 0.7467  2 Li 3.07, 1 U 3.08, 2 Nd 3.17
12 Te 0.7389 0.2533 0.2533  2 Li 3.07, 1 U 3.08, 2 Nd 3.17
13 Te 0.7456 0.7456 0.7456  3 Li 3.07, 3 Nd 3.18
14 Te 0.7467 0.2611 0.7467  2 Li 3.07, 1 U 3.08, 2 Nd 3.17
15 Te 0.7467 0.7467 0.2611  2 Li 3.07, 1 U 3.08, 2 Nd 3.17

Uncorrected formation energy, eV/atom: -1.1484

Here is a geometry-optimized BaAgCl2 structure from the Alexandria database. Energies are from PBE.

Unit cell a=5.3883 b=5.3883 c=5.3883 alpha=60.00 beta=60.00 gamma=60.00
Closest atoms and distances in Å follow each position.
Fractional positions:
1 Ba 0.0000 0.0000 0.0000  8 Cl 3.30
2 Ag 0.5000 0.5000 0.5000  8 Cl 3.30
3 Cl 0.2500 0.2500 0.2500  4 Ba 3.30, 4 Ag 3.30
4 Cl 0.7500 0.7500 0.7500  4 Ba 3.30, 4 Ag 3.30

Uncorrected formation energy, eV/atom: -1.3173

Here is a geometry-optimized YZrTlHg structure from the Alexandria database. Energies are from PBE.

Unit cell a=5.1659 b=5.1659 c=5.1659 alpha=60.00 beta=60.00 gamma=60.00
Closest atoms and distances in Å follow each position.
Fractional positions:
1 Y 0.0000 0.0000 0.0000  4 Hg 3.16, 4 Tl 3.16
2 Zr 0.5000 0.5000 0.5000  4 Hg 3.16, 4 Tl 3.16
3 Tl 0.2500 0.2500 0.2500  4 Zr 3.16, 4 Y 3.16
4 Hg 0.7500 0.7500 0.7500  4 Y 3.16, 4 Zr 3.16

DFT formation energy, eV per atom: -0.216

Here is a geometry-optimized Nd2ErP3Rh4 structure from the Alexandria database. Energies are from PBE.

Unit cell a=4.0308 b=4.0308 c=11.1901 alpha=90.00 beta=90.00 gamma=90.00
Closest atoms and distances in Å follow each position.
Fractional positions:
1 Nd 0.0000 0.5000 0.2248  4 P 3.06, 8 Rh 3.10-3.22
2 Nd 0.5000 0.0000 0.7752  4 P 3.06, 8 Rh 3.10-3.22
3 Er 0.0000 0.0000 0.5000  4 Rh 2.74, 4 P 2.85
4 P 0.0000 0.5000 0.8757  5 Rh 2.34-2.45
5 P 0.5000 0.0000 0.1243  5 Rh 2.34-2.45
6 P 0.5000 0.5000 0.5000  4 Rh 2.74, 4 Er 2.85
7 Rh 0.0000 0.0000 0.0000  4 P 2.45
8 Rh 0.0000 0.5000 0.6664  1 P 2.34
9 Rh 0.5000 0.0000 0.3336  1 P 2.34
10 Rh 0.5000 0.5000 0.0000  4 P 2.45

DFT formation energy, eV per atom: -1.073

Here is a geometry-optimized LaLu2Sc structure from the Alexandria database. Energies are from PBE.

Unit cell a=3.8721 b=3.8721 c=8.1436 alpha=90.00 beta=90.00 gamma=90.00
Closest atoms and distances in Å follow each position.
Fractional positions:
1 La 0.0000 0.0000 0.0000  8 Lu 3.59, 4 La 3.87
2 Lu 0.5000 0.5000 0.2849  4 Sc 3.25, 1 Lu 3.50, 4 La 3.59
3 Lu 0.5000 0.5000 0.7151  4 Sc 3.25, 1 Lu 3.50, 4 La 3.59
4 Sc 0.0000 0.0000 0.5000  8 Lu 3.25

DFT formation energy, eV per atom: 0.075

Here is a geometry-optimized ZnFe3Ge structure from the Alexandria database. Energies are from PBE.

Unit cell a=4.4148 b=4.4148 c=4.4148 alpha=90.00 beta=90.00 gamma=90.00
Closest atoms and distances in Å follow each position.
Fractional positions:
1 Zn 0.0000 0.0000 0.0000  6 Fe 2.21
2 Fe 0.0000 0.0000 0.5000  2 Zn 2.21
3 Fe 0.0000 0.5000 0.0000  2 Zn 2.21
4 Fe 0.5000 0.0000 0.0000  2 Zn 2.21
5 Ge 0.5000 0.5000 0.5000  12 Fe 3.12

DFT formation energy, eV per atom: 1.086

Here is a geometry-optimized LiMnHg2 structure from the Alexandria database. Energies are from PBE.

Unit cell a=4.6937 b=4.6937 c=5.7507 alpha=100.07 beta=100.07 gamma=39.10
Closest atoms and distances in Å follow each position.
Fractional positions:
1 Li 0.0000 0.0000 0.0000  6 Hg 2.83-2.88, 2 Li 3.14
2 Mn 0.5000 0.5000 0.5000  6 Hg 2.86-2.87, 2 Mn 3.14
3 Hg 0.2477 0.2477 0.7510  3 Li 2.83-2.88, 3 Mn 2.86-2.87, 2 Hg 3.14
4 Hg 0.7523 0.7523 0.2490  3 Li 2.83-2.88, 3 Mn 2.86-2.87, 2 Hg 3.14

DFT formation energy, eV per atom: 0.100

For the records above, the corresponding calculated total energy values read -0.03684; -0.18054; -0.12620; -0.17036; -0.25896; -0.18377; -0.18997; -0.10370 hartree per atom.